1.
Here is a geometry-optimized NiAgB structure from OQMD. Energies are from PBE.

## Properties
Space group: F-43m
Magnetic moment, μB/f.u.: 0.00
VASP energy, eV per atom: -3.789

extended XYZ file:
```
3
Lattice="-3.857 0.582 0.233 -1.672 2.865 -2.066 -2.295 -0.867 -3.042" Properties=species:S:1:pos:R:3 pbc="T T T"
Ag 0.000 0.000 0.000
B -1.956 0.645 -1.219
Ni -5.868 1.935 -3.656
```

=====

2.
Here is a geometry-optimized NiAgB2 structure from OQMD. Energies are from PBE.

## Properties
Space group: F-43m
Magnetic moment, μB/f.u.: 0.00
VASP energy, eV per atom: -4.159

extended XYZ file:
```
4
Lattice="0.000 2.780 2.780 2.780 0.000 2.780 2.780 2.780 0.000" Properties=species:S:1:pos:R:3 pbc="T T T"
Ag 4.169 4.169 4.169
B 1.390 1.390 1.390
B 2.780 2.780 2.780
Ni 0.000 0.000 0.000
```

=====

3.
Here is a geometry-optimized NiAgBPd structure from OQMD. Energies are from PBE.

## Properties
Space group: F-43m
Magnetic moment, μB/f.u.: 0.00
VASP energy, eV per atom: -4.483

extended XYZ file:
```
4
Lattice="0.000 2.948 2.948 2.948 0.000 2.948 2.948 2.948 0.000" Properties=species:S:1:pos:R:3 pbc="T T T"
Ag 2.948 2.948 2.948
B 0.000 0.000 0.000
Ni 4.422 4.422 4.422
Pd 1.474 1.474 1.474
```

=====

4.
Here is a geometry-optimized NiAgBPd structure from OQMD. Energies are from PBE.

## Properties
Space group: F-43m
Magnetic moment, μB/f.u.: 0.01
VASP energy, eV per atom: -4.517

extended XYZ file:
```
4
Lattice="0.000 2.917 2.917 2.917 0.000 2.917 2.917 2.917 0.000" Properties=species:S:1:pos:R:3 pbc="T T T"
Ag 4.376 4.376 4.376
B 0.000 0.000 0.000
Ni 2.917 2.917 2.917
Pd 1.459 1.459 1.459
```

=====

5.
Here is a geometry-optimized NiAgBPt structure from OQMD. Energies are from PBE.

## Properties
Space group: F-43m
Magnetic moment, μB/f.u.: 0.00
VASP energy, eV per atom: -4.769

extended XYZ file:
```
4
Lattice="0.000 2.933 2.933 2.933 0.000 2.933 2.933 2.933 0.000" Properties=species:S:1:pos:R:3 pbc="T T T"
Ag 4.399 4.399 4.399
B 0.000 0.000 0.000
Ni 2.933 2.933 2.933
Pt 1.466 1.466 1.466
```

=====

6.
Here is a geometry-optimized NiAgBPt structure from OQMD. Energies are from PBE.

## Properties
Space group: F-43m
Magnetic moment, μB/f.u.: 0.00
VASP energy, eV per atom: -4.670

extended XYZ file:
```
4
Lattice="0.000 2.957 2.957 2.957 0.000 2.957 2.957 2.957 0.000" Properties=species:S:1:pos:R:3 pbc="T T T"
Ag 2.957 2.957 2.957
B 0.000 0.000 0.000
Ni 4.435 4.435 4.435
Pt 1.478 1.478 1.478
```